Record 1
# Al2Ni4Au, optimized geometry, DFT PBE-GGA
# Magnetization (μB/cell): 0.00
# Raw total energy (eV/f.u.): -35.11
# Mass density (g/cm³): 8.30
# E_form (eV/atom): -0.1753
data_Al2Ni4Au
_space_group_name_H-M_alt 'P 1'
_space_group_IT_number 1
_space_group_name_Hall 'P 1'
_cell_length_a 8.839
_cell_length_b 8.839
_cell_length_c 8.839
_cell_angle_alpha 157.96
_cell_angle_beta 157.96
_cell_angle_gamma 31.37
loop_
_atom_site_label
_atom_site_fract_x
_atom_site_fract_y
_atom_site_fract_z
Al1 0.122 0.122 0.000
Al2 0.878 0.878 0.000
Ni1 0.250 0.750 0.500
Ni2 0.352 0.352 0.000
Ni3 0.648 0.648 0.000
Ni4 0.750 0.250 0.500
Au1 0.500 0.500 0.000

***

Record 2
# Tb4ThSc7, optimized geometry, DFT PBE-GGA
# Magnetization (μB/cell): 0.00
# Raw total energy (eV/f.u.): -66.78
# Mass density (g/cm³): 5.71
# E_form (eV/atom): 0.2898
data_Tb4ThSc7
_space_group_name_H-M_alt 'P 1'
_space_group_IT_number 1
_space_group_name_Hall 'P 1'
_cell_length_a 6.388
_cell_length_b 6.388
_cell_length_c 11.956
_cell_angle_alpha 114.11
_cell_angle_beta 114.11
_cell_angle_gamma 52.33
loop_
_atom_site_label
_atom_site_fract_x
_atom_site_fract_y
_atom_site_fract_z
Tb1 0.062 0.062 0.336
Tb2 0.357 0.357 0.223
Tb3 0.643 0.643 0.777
Tb4 0.938 0.938 0.664
Th1 0.500 0.500 0.000
Sc1 0.000 0.000 0.000
Sc2 0.208 0.208 0.922
Sc3 0.248 0.248 0.679
Sc4 0.366 0.366 0.496
Sc5 0.634 0.634 0.504
Sc6 0.752 0.752 0.321
Sc7 0.792 0.792 0.078

***

Record 3
# LiHfSnHg, optimized geometry, DFT PBE-GGA
# Magnetization (μB/cell): 0.00
# Raw total energy (eV/f.u.): -16.75
# Mass density (g/cm³): 9.99
# E_form (eV/atom): -0.1442
data_LiHfSnHg
_space_group_name_H-M_alt 'P 1'
_space_group_IT_number 1
_space_group_name_Hall 'P 1'
_cell_length_a 4.913
_cell_length_b 4.913
_cell_length_c 4.913
_cell_angle_alpha 60.00
_cell_angle_beta 60.00
_cell_angle_gamma 60.00
loop_
_atom_site_label
_atom_site_fract_x
_atom_site_fract_y
_atom_site_fract_z
Li1 0.000 0.000 0.000
Hf1 0.500 0.500 0.500
Sn1 0.750 0.750 0.750
Hg1 0.250 0.250 0.250

***

Record 4
# Ac3Pa2P2N4, optimized geometry, DFT PBE-GGA
# Magnetization (μB/cell): 0.98
# Raw total energy (eV/f.u.): -90.84
# ΔE_f (raw) (eV/atom): -1.400
# Mass density (g/cm³): 8.70
data_Ac3Pa2P2N4
_space_group_name_H-M_alt 'P 1'
_space_group_IT_number 1
_space_group_name_Hall 'P 1'
_cell_length_a 12.814
_cell_length_b 12.814
_cell_length_c 12.814
_cell_angle_alpha 160.23
_cell_angle_beta 160.23
_cell_angle_gamma 28.10
loop_
_atom_site_label
_atom_site_fract_x
_atom_site_fract_y
_atom_site_fract_z
Ac1 0.000 0.000 0.000
Ac2 0.180 0.180 0.000
Ac3 0.820 0.820 0.000
Pa1 0.415 0.415 0.000
Pa2 0.585 0.585 0.000
P1 0.302 0.302 0.000
P2 0.698 0.698 0.000
N1 0.071 0.571 0.500
N2 0.429 0.929 0.500
N3 0.571 0.071 0.500
N4 0.929 0.429 0.500

***

Record 5
# HPdSe3, optimized geometry, DFT PBE-GGA
# Magnetization (μB/cell): 2.83
# Raw total energy (eV/f.u.): -14.45
# Mass density (g/cm³): 4.56
data_HPdSe3
_space_group_name_H-M_alt 'P 1'
_space_group_IT_number 1
_space_group_name_Hall 'P 1'
_cell_length_a 5.004
_cell_length_b 5.004
_cell_length_c 5.004
_cell_angle_alpha 90.00
_cell_angle_beta 90.00
_cell_angle_gamma 90.00
loop_
_atom_site_label
_atom_site_fract_x
_atom_site_fract_y
_atom_site_fract_z
H1 0.000 0.000 0.000
Pd1 0.500 0.500 0.500
Se1 0.000 0.500 0.500
Se2 0.500 0.000 0.500
Se3 0.500 0.500 0.000

***

Record 6
# Tb2NdHoSc4, optimized geometry, DFT PBE-GGA
# Magnetization (μB/cell): 0.00
# Raw total energy (eV/f.u.): -43.44
# Mass density (g/cm³): 5.95
# E_form (eV/atom): 0.0615
data_Tb2NdHoSc4
_space_group_name_H-M_alt 'P 1'
_space_group_IT_number 1
_space_group_name_Hall 'P 1'
_cell_length_a 5.954
_cell_length_b 3.440
_cell_length_c 11.172
_cell_angle_alpha 90.00
_cell_angle_beta 100.22
_cell_angle_gamma 90.00
loop_
_atom_site_label
_atom_site_fract_x
_atom_site_fract_y
_atom_site_fract_z
Tb1 0.000 0.000 0.000
Tb2 0.000 0.500 0.500
Nd1 0.500 0.000 0.500
Ho1 0.500 0.500 0.000
Sc1 0.249 0.500 0.248
Sc2 0.250 0.000 0.752
Sc3 0.750 0.000 0.248
Sc4 0.751 0.500 0.752